one:
A geometry-optimized RbReB4 structure. Source: OQMD via LeMat-Bulk, functional GGA-PBE.

Structure (CIF):
```
data_RbReB4
_chemical_formula_sum 'Rb1 Re1 B4'
_cell_length_a 3.0240
_cell_length_b 3.0240
_cell_length_c 8.6150
_cell_angle_alpha 90.00
_cell_angle_beta 90.00
_cell_angle_gamma 120.00
_symmetry_space_group_name_H-M 'P 6/m m m'
_symmetry_Int_Tables_number 191
_symmetry_space_group_name_Hall '-P 6 2'
loop_
_atom_site_label
_atom_site_fract_x
_atom_site_fract_y
_atom_site_fract_z
Rb1 0.0000 0.0000 0.0000
Re1 0.0000 0.0000 0.5000
B1 0.3333 0.6667 0.3070
```

=====

two:
A geometry-optimized RbReB4 structure. Source: OQMD via LeMat-Bulk, functional GGA-PBE.

Structure (CIF):
```
data_RbReB4
_chemical_formula_sum 'Rb2 Re2 B8'
_cell_length_a 2.997
_cell_length_b 5.768
_cell_length_c 7.606
_cell_angle_alpha 90.00
_cell_angle_beta 90.00
_cell_angle_gamma 90.00
_symmetry_space_group_name_H-M 'I m m m'
_symmetry_Int_Tables_number 71
_symmetry_space_group_name_Hall '-I 2 2'
loop_
_atom_site_label
_atom_site_fract_x
_atom_site_fract_y
_atom_site_fract_z
Rb1 0.000 0.000 0.000
Re1 0.000 0.000 0.500
B1 0.000 0.349 0.226
```

=====

It is one that is the most stable of them.

=====

one:
A geometry-optimized RbReB structure. Source: OQMD via LeMat-Bulk, functional GGA-PBE.

Structure (CIF):
```
data_RbReB
_chemical_formula_sum 'Rb4 Re4 B4'
_cell_length_a 6.996
_cell_length_b 6.996
_cell_length_c 6.996
_cell_angle_alpha 90.00
_cell_angle_beta 90.00
_cell_angle_gamma 90.00
_symmetry_space_group_name_H-M 'F -4 3 m'
_symmetry_Int_Tables_number 216
_symmetry_space_group_name_Hall 'F -4 2 3'
loop_
_atom_site_label
_atom_site_fract_x
_atom_site_fract_y
_atom_site_fract_z
Rb1 0.000 0.000 0.000
Re1 0.250 0.250 0.250
B1 0.250 0.250 0.750
```

=====

two:
A geometry-optimized RbReB structure. Source: OQMD via LeMat-Bulk, functional GGA-PBE.

Structure (CIF):
```
data_RbReB
_chemical_formula_sum 'Rb4 Re4 B4'
_cell_length_a 6.063
_cell_length_b 6.063
_cell_length_c 6.063
_cell_angle_alpha 90.00
_cell_angle_beta 90.00
_cell_angle_gamma 90.00
_symmetry_space_group_name_H-M 'F -4 3 m'
_symmetry_Int_Tables_number 216
_symmetry_space_group_name_Hall 'F -4 2 3'
loop_
_atom_site_label
_atom_site_fract_x
_atom_site_fract_y
_atom_site_fract_z
Rb1 0.000 0.000 0.000
Re1 0.000 0.000 0.500
B1 0.250 0.250 0.250
```

=====

It is two that is the most stable of them.

=====

one:
A geometry-optimized RbSmB4 structure. Source: OQMD via LeMat-Bulk, functional GGA-PBE.

Structure (CIF):
```
data_RbSmB4
_chemical_formula_sum 'Rb2 Sm2 B8'
_cell_length_a 3.131
_cell_length_b 8.073
_cell_length_c 8.090
_cell_angle_alpha 90.00
_cell_angle_beta 90.00
_cell_angle_gamma 90.00
_symmetry_space_group_name_H-M 'I m m m'
_symmetry_Int_Tables_number 71
_symmetry_space_group_name_Hall '-I 2 2'
loop_
_atom_site_label
_atom_site_fract_x
_atom_site_fract_y
_atom_site_fract_z
Rb1 0.000 0.000 0.000
Sm1 0.000 0.500 0.000
B1 0.000 0.244 0.262
```

=====

two:
A geometry-optimized RbSmB4 structure. Source: OQMD via LeMat-Bulk, functional GGA-PBE.

Structure (CIF):
```
data_RbSmB4
_chemical_formula_sum 'Rb1 Sm1 B4'
_cell_length_a 3.2553
_cell_length_b 3.2553
_cell_length_c 9.2575
_cell_angle_alpha 90.00
_cell_angle_beta 90.00
_cell_angle_gamma 120.00
_symmetry_space_group_name_H-M 'P 6/m m m'
_symmetry_Int_Tables_number 191
_symmetry_space_group_name_Hall '-P 6 2'
loop_
_atom_site_label
_atom_site_fract_x
_atom_site_fract_y
_atom_site_fract_z
Rb1 0.0000 0.0000 0.0000
Sm1 0.0000 0.0000 0.5000
B1 0.3333 0.6667 0.2857
```

=====

It is one that is the most stable of them.

=====

one:
A geometry-optimized RbTaB structure. Source: OQMD via LeMat-Bulk, functional GGA-PBE.

Structure (CIF):
```
data_RbTaB
_chemical_formula_sum 'Rb4 Ta4 B4'
_cell_length_a 6.406
_cell_length_b 6.406
_cell_length_c 6.406
_cell_angle_alpha 90.00
_cell_angle_beta 90.00
_cell_angle_gamma 90.00
_symmetry_space_group_name_H-M 'F -4 3 m'
_symmetry_Int_Tables_number 216
_symmetry_space_group_name_Hall 'F -4 2 3'
loop_
_atom_site_label
_atom_site_fract_x
_atom_site_fract_y
_atom_site_fract_z
Rb1 0.000 0.000 0.000
Ta1 0.250 0.250 0.250
B1 0.250 0.250 0.750
```

=====

two:
A geometry-optimized RbTaB structure. Source: OQMD via LeMat-Bulk, functional GGA-PBE.

Structure (CIF):
```
data_RbTaB
_chemical_formula_sum 'Rb4 Ta4 B4'
_cell_length_a 6.269
_cell_length_b 6.269
_cell_length_c 6.269
_cell_angle_alpha 90.00
_cell_angle_beta 90.00
_cell_angle_gamma 90.00
_symmetry_space_group_name_H-M 'F -4 3 m'
_symmetry_Int_Tables_number 216
_symmetry_space_group_name_Hall 'F -4 2 3'
loop_
_atom_site_label
_atom_site_fract_x
_atom_site_fract_y
_atom_site_fract_z
Rb1 0.000 0.000 0.000
Ta1 0.000 0.000 0.500
B1 0.250 0.250 0.250
```

=====

It is two that is the most stable of them.